P) An optimized crystal structure of CaWSN2. Source: Alexandria, functional PBE.

## Properties
As for the space group: P4/mmm (123).

Cell lengths 4.275, 4.275, 5.188 Å; angles 90.00, 90.00, 90.00 degrees
Element x y z (fractional)
Ca: 0.000 0.000 0.000
W: 0.500 0.500 0.500
S: 0.000 0.000 0.500
N: 0.000 0.500 0.000
N: 0.500 0.000 0.000

Q) An optimized crystal structure of CaWSN2. Source: Alexandria, functional PBE.

## Properties
As for the space group: P4/mmm (123).

Cell lengths 3.966, 3.966, 4.939 Å; angles 90.00, 90.00, 90.00 degrees
Element x y z (fractional)
Ca: 0.000 0.000 0.000
W: 0.500 0.500 0.500
S: 0.500 0.500 0.000
N: 0.000 0.500 0.500
N: 0.500 0.000 0.500

Consider the structures shown above. The most stable of them is Q).